Entry 1:
Compound: Er6SiAs2S3
Source: the Alexandria database
Functional: PBE-GGA
Structure: relaxed

Output
- Magnetic moment: 0.000 μB/atom
- Formation energy without anion corrections: -1.644 eV/atom
- DOS(E_F): 3.18 states/eV/cell

Lattice parameters (Å, degrees): 3.997 7.955 8.908 102.48 102.97 90.00
Positions (direct):
S1 0.500 0.500 0.000
Er1 0.666 0.584 0.332
S2 0.832 0.167 0.664
As1 0.833 0.666 0.666
Si1 0.500 0.000 0.000
S3 0.168 0.833 0.336
Er2 0.001 0.755 0.001
Er3 0.664 0.080 0.328
Er4 0.336 0.920 0.672
Er5 0.999 0.245 0.999
Er6 0.334 0.416 0.668
As2 0.167 0.334 0.334

Entry 2:
Compound: Er6Si2AsS3
Source: the Alexandria database
Functional: PBE-GGA
Structure: relaxed

Output
- Magnetic moment: 0.000 μB/atom
- Formation energy without anion corrections: -1.509 eV/atom
- DOS(E_F): 2.19 states/eV/cell

Lattice parameters (Å, degrees): 3.997 7.986 8.919 102.64 102.95 90.00
Positions (direct):
Er1 0.333 0.911 0.665
Si1 0.833 0.666 0.666
S1 0.500 0.500 0.000
Si2 0.167 0.334 0.334
Er2 0.667 0.582 0.335
Er3 0.003 0.252 0.005
Er4 0.333 0.418 0.665
Er5 0.667 0.089 0.335
Er6 0.997 0.748 0.995
S2 0.835 0.166 0.670
S3 0.165 0.834 0.330
As1 0.500 0.000 0.000